DFT (GGA-PBE) results for a relaxed TlOs2Pb crystal.

Calculated values
The space group is No. 122. The formation energy from the elements is 1.543 eV per atom. Its total DFT energy (no corrections) is -5.590 eV per atom. The calculation puts the size of the total moment at 0.00 μB per cell.

a = 7.715 Å, b = 7.715 Å, c = 6.120 Å
α = 50.93°, β = 50.93°, γ = 90.00°
Fractional coordinates of all 8 atoms:
Os 0.375 0.373 0.750
Os 0.123 0.625 0.250
Os 0.627 0.125 0.250
Os 0.875 0.877 0.750
Tl 0.500 0.500 0.000
Tl 0.250 0.750 0.500
Pb 0.750 0.250 0.500
Pb 0.000 0.000 0.000

=====

DFT (GGA-PBE) results for a relaxed Tl2OsPb crystal.

Calculated values
The space group is No. 47. The formation energy from the elements is 0.963 eV per atom. Its total DFT energy (no corrections) is -3.955 eV per atom. The calculation puts the size of the total moment at 0.00 μB per cell.

a = 3.479 Å, b = 5.303 Å, c = 5.094 Å
α = 90.00°, β = 90.00°, γ = 90.00°
Fractional coordinates of all 4 atoms:
Os 0.500 0.000 0.500
Tl 0.500 0.500 0.000
Tl 0.000 0.000 0.000
Pb 0.000 0.500 0.500

=====

DFT (GGA-PBE) results for a relaxed TlOsPb crystal.

Calculated values
The space group is No. 156. The formation energy from the elements is 0.809 eV per atom. Its total DFT energy (no corrections) is -4.959 eV per atom. The calculation puts the size of the total moment at 0.00 μB per cell.

a = 3.237 Å, b = 3.237 Å, c = 7.721 Å
α = 90.00°, β = 90.00°, γ = 120.00°
Fractional coordinates of all 3 atoms:
Pb 0.667 0.333 0.282
Os 0.000 0.000 0.004
Tl 0.333 0.667 0.713

=====

DFT (GGA-PBE) results for a relaxed TlOs2Pb crystal.

Calculated values
The space group is No. 225. The formation energy from the elements is 1.153 eV per atom. Its total DFT energy (no corrections) is -5.980 eV per atom. The calculation puts the size of the total moment at 0.00 μB per cell.

a = 4.708 Å, b = 4.708 Å, c = 4.708 Å
α = 60.00°, β = 60.00°, γ = 60.00°
Fractional coordinates of all 4 atoms:
Os 0.750 0.750 0.750
Os 0.250 0.250 0.250
Pb 0.500 0.500 0.500
Tl 0.000 0.000 0.000

=====

DFT (GGA-PBE) results for a relaxed TlOs2Pb crystal.

Calculated values
The space group is No. 8. The formation energy from the elements is 0.697 eV per atom. Its total DFT energy (no corrections) is -6.437 eV per atom. The calculation puts the size of the total moment at 0.00 μB per cell.

a = 4.304 Å, b = 4.304 Å, c = 7.884 Å
α = 83.88°, β = 83.88°, γ = 40.68°
Fractional coordinates of all 4 atoms:
Os 0.004 0.004 0.928
Os 0.745 0.745 0.814
Tl 0.272 0.272 0.196
Pb 0.480 0.480 0.562

=====

DFT (GGA-PBE) results for a relaxed TlOsPb crystal.

Calculated values
The space group is No. 107. The formation energy from the elements is 0.803 eV per atom. Its total DFT energy (no corrections) is -4.965 eV per atom. The calculation puts the size of the total moment at 0.00 μB per cell.

a = 7.353 Å, b = 7.353 Å, c = 7.353 Å
α = 154.92°, β = 154.92°, γ = 35.77°
Fractional coordinates of all 3 atoms:
Tl 0.635 0.635 0.000
Pb 0.366 0.366 0.000
Os 0.999 0.999 0.000

=====

Calculated values (meV/atom) of energy above the most stable polymorph in this dataset for the records, taken in order: 998; 403; 11; 608; 151; 5.